Below is a relaxed structure of RbRhF5, with properties calculated at the PBE-GGA level.

Properties
Raw formation energy: -1.95 eV per atom

Lattice parameters (Å, degrees): 6.918 6.918 6.929 107.30 112.69 108.41
Atoms (fractional coordinates):
F  0.180  0.233  0.948
F  0.499  0.764  0.265
Rh  0.000  0.000  0.000
F  0.501  0.236  0.735
Rb  0.282  0.532  0.750
F  0.785  0.231  0.552
Rb  0.718  0.468  0.250
F  0.670  0.920  0.750
F  0.999  0.234  0.235
F  0.001  0.766  0.765
F  0.330  0.080  0.250
Rh  0.500  0.000  0.500
F  0.820  0.767  0.052
F  0.215  0.769  0.448


Below is a relaxed structure of La6C2Br3O, with properties calculated at the PBE-GGA level.

Properties
Raw formation energy: -1.33 eV per atom

Lattice parameters (Å, degrees): 6.664 6.664 7.899 98.09 98.09 120.00
Atoms (fractional coordinates):
La  0.273  0.273  0.817
C  0.666  0.334  0.000
La  0.395  0.061  0.183
O  0.000  0.000  0.000
La  0.939  0.605  0.817
Br  0.830  0.170  0.500
Br  0.500  0.500  0.500
La  0.727  0.727  0.183
La  0.605  0.939  0.817
La  0.061  0.395  0.183
Br  0.170  0.830  0.500
C  0.334  0.666  0.000


no.,magnetization (μB per atom)
1,0.144
2,0.000